A plane-wave DFT calculation with PBEsol was carried out for a relaxed structure of La3BiPb.

**Formation energy**: 0.172 kcal/mol of atoms
**Density**: 6.57 g/cm³
**SG**: Pm-3m, No. 221
**M_tot**: 0.0002 μB per atom
**Electronic total energy**: -4.86 eV/atom

Geometry as POSCAR:
```
La3BiPb
1.0
-2.073 0.117 5.574
-3.270 -4.842 -1.114
4.516 -3.453 1.752
Bi Pb La
1 1 3
Direct
0.500 0.500 0.500
0.000 0.000 0.000
0.500 0.000 0.000
0.000 0.500 0.000
0.000 0.000 0.500
```

---

A plane-wave DFT calculation with PBEsol was carried out for a relaxed structure of La2BiPd2.

**Formation energy**: -20.601 kcal/mol of atoms
**Density**: 9.51 g/cm³
**SG**: P4/mbm, No. 127
**M_tot**: 0.0001 μB per atom
**Electronic total energy**: -6.27 eV/atom

Geometry as POSCAR:
```
La2BiPd2
1.0
3.931 0.000 0.000
0.000 7.885 0.000
0.000 0.000 7.885
La Bi Pd
4 2 4
Direct
0.500 0.178 0.678
0.500 0.678 0.822
0.500 0.322 0.178
0.500 0.822 0.322
0.000 0.000 0.000
0.000 0.500 0.500
0.000 0.877 0.623
0.000 0.377 0.877
0.000 0.123 0.377
0.000 0.623 0.123
```

---

A plane-wave DFT calculation with PBEsol was carried out for a relaxed structure of LaBi2Pt2.

**Formation energy**: -12.368 kcal/mol of atoms
**Density**: 12.77 g/cm³
**SG**: I4/mmm, No. 139
**M_tot**: 0.0000 μB per atom
**Electronic total energy**: -6.11 eV/atom

Geometry as POSCAR:
```
LaBi2Pt2
1.0
-1.986 0.649 4.005
3.986 -0.524 2.061
0.016 5.867 -3.490
Pt Bi La
2 2 1
Direct
0.606 0.606 0.213
0.394 0.394 0.787
0.250 0.750 0.500
0.750 0.250 0.500
0.000 0.000 0.000
```

---

A plane-wave DFT calculation with PBEsol was carried out for a relaxed structure of LaBiPt3.

**Formation energy**: 3.205 kcal/mol of atoms
**Density**: 12.21 g/cm³
**SG**: Pm-3m, No. 221
**M_tot**: 0.0000 μB per atom
**Electronic total energy**: -5.97 eV/atom

Geometry as POSCAR:
```
LaBiPt3
1.0
5.026 0.000 0.000
0.000 5.026 0.000
0.000 0.000 5.026
La Bi Pt
1 1 3
Direct
0.500 0.500 0.500
0.000 0.000 0.000
0.000 0.000 0.500
0.000 0.500 0.000
0.500 0.000 0.000
```

---

A plane-wave DFT calculation with PBEsol was carried out for a relaxed structure of LaBi2PtRh.

**Formation energy**: 9.476 kcal/mol of atoms
**Density**: 9.61 g/cm³
**SG**: P4/mmm, No. 123
**M_tot**: 0.0000 μB per atom
**Electronic total energy**: -5.39 eV/atom

Geometry as POSCAR:
```
LaBi2PtRh
1.0
5.263 0.000 0.000
0.000 5.298 0.000
0.000 0.000 5.298
La Pt Bi Rh
1 1 2 1
Direct
0.500 0.000 0.000
0.000 0.000 0.000
0.000 0.000 0.500
0.000 0.500 0.000
0.500 0.500 0.500
```

---

A plane-wave DFT calculation with PBEsol was carried out for a relaxed structure of LaReBi2.

**Formation energy**: 13.532 kcal/mol of atoms
**Density**: 11.43 g/cm³
**SG**: I-42d, No. 122
**M_tot**: 0.0013 μB per atom
**Electronic total energy**: -6.23 eV/atom

Geometry as POSCAR:
```
LaReBi2
1.0
4.500 0.000 0.000
0.000 4.500 0.000
-2.250 -2.250 10.660
Bi Re La
4 2 2
Direct
0.625 0.656 0.750
0.344 0.875 0.250
0.906 0.375 0.250
0.125 0.094 0.750
0.250 0.750 0.500
0.000 0.000 0.000
0.750 0.250 0.500
0.500 0.500 0.000
```

---

A plane-wave DFT calculation with PBEsol was carried out for a relaxed structure of LaZnReBi2.

**Formation energy**: 15.587 kcal/mol of atoms
**Density**: 10.27 g/cm³
**SG**: P4/mmm, No. 123
**M_tot**: 0.2281 μB per atom
**Electronic total energy**: -5.09 eV/atom

Geometry as POSCAR:
```
LaZnReBi2
1.0
4.745 0.000 0.000
0.000 5.250 0.000
0.000 0.000 5.250
Bi Zn Re La
2 1 1 1
Direct
0.000 0.500 0.000
0.000 0.000 0.500
0.000 0.000 0.000
0.500 0.000 0.000
0.500 0.500 0.500
```

---

A plane-wave DFT calculation with PBEsol was carried out for a relaxed structure of La3BiRu.

**Formation energy**: -13.101 kcal/mol of atoms
**Density**: 8.35 g/cm³
**Excess energy over the best structure of this formula in the dataset**: 0.0 meV per atom
**SG**: P6_3/mmc, No. 194
**M_tot**: 0.0001 μB per atom
**Electronic total energy**: -6.67 eV/atom

Geometry as POSCAR:
```
La3BiRu
1.0
5.973 0.000 0.000
0.000 7.474 0.000
0.000 -3.737 6.473
Ru La Bi
2 6 2
Direct
0.500 0.000 0.000
0.000 0.000 0.000
0.750 0.821 0.642
0.750 0.358 0.179
0.750 0.821 0.179
0.250 0.179 0.821
0.250 0.642 0.821
0.250 0.179 0.358
0.750 0.333 0.667
0.250 0.667 0.333
```

---

A plane-wave DFT calculation with PBEsol was carried out for a relaxed structure of La3BiRu.

**Formation energy**: -11.225 kcal/mol of atoms
**Density**: 7.74 g/cm³
**Excess energy over the best structure of this formula in the dataset**: 81.4 meV per atom
**SG**: Pm-3m, No. 221
**M_tot**: 0.0000 μB per atom
**Electronic total energy**: -6.59 eV/atom

Geometry as POSCAR:
```
La3BiRu
1.0
5.382 0.000 0.000
0.000 5.382 0.000
0.000 0.000 5.382
La Bi Ru
3 1 1
Direct
0.000 0.500 0.000
0.000 0.000 0.500
0.500 0.000 0.000
0.500 0.500 0.500
0.000 0.000 0.000
```

---

A plane-wave DFT calculation with PBEsol was carried out for a relaxed structure of LaTaBiS2.

**Density**: 6.11 g/cm³
**SG**: P4/mmm, No. 123
**Formation energy from raw total energies**: 1.273 eV/atom
**M_tot**: 0.6880 μB per atom
**Electronic total energy**: -4.92 eV/atom

Geometry as POSCAR:
```
LaTaBiS2
1.0
5.168 0.000 0.000
0.000 5.168 0.000
0.000 0.000 6.032
S La Ta Bi
2 1 1 1
Direct
0.500 0.000 0.000
0.000 0.500 0.000
0.000 0.000 0.500
0.500 0.500 0.500
0.000 0.000 0.000
```

---

A plane-wave DFT calculation with PBEsol was carried out for a relaxed structure of La2ScBi2.

**Formation energy**: -18.081 kcal/mol of atoms
**Density**: 8.04 g/cm³
**SG**: P4/mbm, No. 127
**M_tot**: 0.0701 μB per atom
**Electronic total energy**: -5.96 eV/atom

Geometry as POSCAR:
```
La2ScBi2
1.0
-3.069 3.269 0.528
0.796 -0.572 8.176
5.987 5.650 -0.187
La Bi Sc
4 4 2
Direct
0.500 0.155 0.655
0.500 0.845 0.345
0.500 0.345 0.155
0.500 0.655 0.845
0.000 0.652 0.152
0.000 0.848 0.652
0.000 0.348 0.848
0.000 0.152 0.348
0.000 0.500 0.500
0.000 0.000 0.000
```

---

A plane-wave DFT calculation with PBEsol was carried out for a relaxed structure of La3BiSe.

**Density**: 5.43 g/cm³
**SG**: Pm-3m, No. 221
**Formation energy from raw total energies**: 0.068 eV/atom
**M_tot**: 0.0125 μB per atom
**Electronic total energy**: -4.77 eV/atom

Geometry as POSCAR:
```
La3BiSe
1.0
-1.643 5.594 -1.389
-4.855 -2.122 -2.802
-3.107 0.357 5.113
Se Bi La
1 1 3
Direct
0.500 0.500 0.500
0.000 0.000 0.000
0.000 0.500 0.000
0.500 0.000 0.000
0.000 0.000 0.500
```